i) Tm2TiCo2 PBE relaxed; magnetic moment = 0.00 μB per formula unit
1.0
-1.8979 2.7380 4.4222
1.8979 -2.7380 4.4222
1.8979 2.7380 -4.4222
Tm Ti Co
2 1 2
Cartesian
0.0000 0.0000 1.7867 Tm
0.0000 0.0000 7.0576 Tm
0.0000 2.7380 0.0000 Ti
1.8979 1.2151 0.0000 Co
0.0000 1.5229 4.4222 Co


ii) Tm2TiCo2 PBE relaxed; magnetic moment = 0.00 μB per formula unit
1.0
4.7556 -2.7916 0.0000
4.7556 2.7916 0.0000
-1.4190 0.0000 6.9967
Tm Ti Co
4 2 4
Cartesian
1.2052 0.6869 1.0239 Tm
0.4957 -0.6869 4.5222 Tm
7.5964 0.6869 2.4744 Tm
6.8869 -0.6869 5.9728 Tm
4.4008 0.5250 1.7492 Ti
3.6913 -0.5250 5.2475 Ti
2.7119 0.8148 3.4931 Co
6.0897 0.8148 0.0052 Co
2.0024 -0.8148 6.9914 Co
5.3802 -0.8148 3.5036 Co


Most favorable structure: ii). The second most favorable one is 9 meV/atom above it.